The following is a PBE calculation of crystalline Tl5Te4Rh at its relaxed geometry, from the Alexandria database.

Lattice parameters (Å, degrees): 19.074 4.414 8.094 90.00 110.91 90.00
Space group C2/m (No. 12)
Inequivalent atoms, fractional coordinates:
Tl 0.000 0.000 0.000
Tl 0.159 0.500 0.247
Tl 0.204 0.500 0.826
Te 0.028 0.500 0.721
Te 0.144 0.000 0.515
Rh 0.000 0.000 0.500

Energy   -3.40 eV/atom
Formation energy (no corrections)   -0.22 eV/atom